## Pr4Ga3 (GGA-PBE)

Data for an optimized crystal structure of Pr4Ga3.

Output
Space-group type: I-43d (220)
Calculated formation energy, eV/atom: -0.4352
Distance to the lowest polymorph of the same formula, meV/atom: 0
Electronic total energy, eV per formula unit: -31.25

a b c (Å): 8.0227 8.0227 8.0227
angles (deg): 109.47 109.47 109.47
Fractional positions:
Pr 0.0000 0.3542 0.5000
Pr 0.0000 0.8542 0.5000
Pr 0.1458 0.1458 0.1458
Pr 0.3542 0.5000 0.0000
Pr 0.5000 0.0000 0.3542
Pr 0.5000 0.0000 0.8542
Pr 0.6458 0.6458 0.6458
Pr 0.8542 0.5000 0.0000
Ga 0.1250 0.7500 0.8750
Ga 0.2500 0.6250 0.3750
Ga 0.3750 0.2500 0.6250
Ga 0.6250 0.3750 0.2500
Ga 0.7500 0.8750 0.1250
Ga 0.8750 0.1250 0.7500


## MnPdAu5 (GGA-PBE)

Data for an optimized crystal structure of MnPdAu5.

Output
Space-group type: Cmcm (63)
Calculated formation energy, eV/atom: 0.0029
Electronic total energy, eV per formula unit: -30.73

a b c (Å): 4.9258 4.9258 10.5682
angles (deg): 90.00 90.00 79.93
Fractional positions:
Mn 0.0000 0.0000 0.0000
Mn 0.0000 0.0000 0.5000
Pd 0.0685 0.9315 0.7500
Pd 0.9315 0.0685 0.2500
Au 0.1550 0.4447 0.6100
Au 0.1550 0.4447 0.8900
Au 0.3522 0.6478 0.2500
Au 0.4447 0.1550 0.1100
Au 0.4447 0.1550 0.3900
Au 0.5553 0.8450 0.6100
Au 0.5553 0.8450 0.8900
Au 0.6478 0.3522 0.7500
Au 0.8450 0.5553 0.1100
Au 0.8450 0.5553 0.3900


## Li3Ca2AgSb4 (GGA-PBE)

Data for an optimized crystal structure of Li3Ca2AgSb4.

Output
Space-group type: P-4m2 (115)
Uncorrected formation energy, eV per atom: -0.6110
Electronic total energy, eV per formula unit: -35.20

a b c (Å): 4.4707 4.4707 12.1277
angles (deg): 90.00 90.00 90.00
Fractional positions:
Li 0.0000 0.0000 0.0000
Li 0.0000 0.5000 0.6400
Li 0.5000 0.0000 0.3600
Ca 0.0000 0.5000 0.2287
Ca 0.5000 0.0000 0.7713
Ag 0.5000 0.5000 0.0000
Sb 0.0000 0.0000 0.5000
Sb 0.0000 0.5000 0.8546
Sb 0.5000 0.0000 0.1454
Sb 0.5000 0.5000 0.5000


## LuThSb (GGA-PBE)

Data for an optimized crystal structure of LuThSb.

Output
Space-group type: P3m1 (156)
Uncorrected formation energy, eV per atom: -0.2777
Electronic total energy, eV per formula unit: -16.90

a b c (Å): 5.1637 5.1637 3.8355
angles (deg): 90.00 90.00 120.00
Fractional positions:
Lu 0.0000 0.0000 0.0000
Th 0.6667 0.3333 0.5046
Sb 0.3333 0.6667 0.1045